NiBiAu2O8: relaxed, PBE with a Hubbard U.

E_tot (eV/atom): -4.347

Cell lengths 6.7959, 6.7959, 7.0280 Å; angles 90.00, 90.00, 90.00 degrees
Space group I-4m2 (No. 119)
Unique sites:
Ni 0.0000 0.0000 0.0000 [2 per cell]
Bi 0.0000 0.5000 0.7500 [2 per cell]
Au 0.0000 0.0000 0.5000 [2 per cell]
Au 0.0000 0.5000 0.2500 [2 per cell]
O 0.0000 0.1755 0.7244 [8 per cell]
O 0.0000 0.3158 0.0301 [8 per cell]